1.
First-principles (PBE) data for crystalline LiCaIr2 at its relaxed geometry, as listed in the Alexandria database.

The excess energy over the best structure of this formula in the dataset comes out at 0.225 eV per atom. The calculation puts the spin magnetization at 0.00 μB/f.u. As for the calculated volume: 16.1 A^3/atom. The value obtained for the formation energy is 0.40 eV/f.u. As for the raw total energy: -5.31 eV/atom.

Structure (POSCAR):
```
LiCaIr2
1.0
2.808 0.000 0.000
0.000 2.808 0.000
0.000 0.000 8.183
Ca Ir Li
1 2 1
Cartesian
1.404 1.404 6.137
0.000 0.000 0.195
0.000 0.000 3.897
1.404 1.404 2.046
```

=====

2.
First-principles (PBE) data for crystalline K5Pa2Br12 at its relaxed geometry, as listed in the Alexandria database.

The calculation puts the spin magnetization at 3.00 μB/f.u. The uncorrected formation energy is -1.53 eV per atom. As for the calculated volume: 41.6 A^3/atom. As for the raw total energy: -3.88 eV/atom.

Structure (POSCAR):
```
K5Pa2Br12
1.0
-6.897 -4.267 2.627
6.734 -5.609 -5.264
3.305 0.902 10.138
K Pa Br
5 2 12
Cartesian
3.772 -3.769 3.780
2.813 -4.803 -0.416
1.652 0.451 5.069
0.328 -4.172 7.917
-0.630 -5.206 3.721
-5.088 -3.148 1.938
-1.809 -1.119 0.689
0.753 -0.149 1.734
7.006 -3.422 6.230
3.714 -5.459 7.484
5.534 -4.065 1.009
2.086 -6.199 2.322
5.802 -6.756 4.256
-2.660 -2.219 3.245
-2.392 -4.909 6.493
1.056 -2.776 5.179
-3.864 -5.552 1.271
-0.572 -3.516 0.018
2.389 -8.825 5.768
```

=====

3.
First-principles (PBE) data for crystalline PrSb3Pd6 at its relaxed geometry, as listed in the Alexandria database.

The calculation puts the spin magnetization at 0.00 μB/f.u. The uncorrected formation energy is -0.49 eV per atom. As for the calculated volume: 21.7 A^3/atom. As for the raw total energy: -5.32 eV/atom.

Structure (POSCAR):
```
PrSb3Pd6
1.0
-1.765 6.788 -1.372
-4.297 -5.782 -0.174
1.531 -1.454 6.071
Pr Sb Pd
1 3 6
Cartesian
-4.095 -0.953 3.197
-2.736 2.667 -0.149
-1.648 -3.033 4.783
-0.251 0.464 1.686
-0.709 -0.770 3.997
-3.334 -2.953 1.020
-1.094 4.712 0.423
-3.795 -3.952 3.702
-2.243 1.449 3.243
-2.752 0.131 0.724
```

=====

4.
First-principles (PBE) data for crystalline CrAgBr2 at its relaxed geometry, as listed in the Alexandria database.

The excess energy over the best structure of this formula in the dataset comes out at 0.000 eV per atom. The calculation puts the spin magnetization at 4.95 μB/f.u. The uncorrected formation energy is -0.09 eV per atom. As for the calculated volume: 30.2 A^3/atom. As for the raw total energy: -4.05 eV/atom.

Structure (POSCAR):
```
CrAgBr2
1.0
6.328 0.000 0.000
0.000 6.328 0.000
3.164 3.164 6.039
Cr Br Ag
2 4 2
Cartesian
3.164 3.164 0.000
3.164 6.328 3.020
4.646 1.582 1.510
1.683 4.746 1.510
4.746 4.847 4.529
7.911 7.810 4.529
0.000 0.000 0.000
6.328 3.164 3.020
```

=====

5.
First-principles (PBE) data for crystalline PtRhIO2 at its relaxed geometry, as listed in the Alexandria database.

The excess energy over the best structure of this formula in the dataset comes out at 0.166 eV per atom. The calculation puts the spin magnetization at 0.00 μB/f.u. The uncorrected formation energy is 0.24 eV per atom. As for the calculated volume: 24.3 A^3/atom. As for the raw total energy: -4.73 eV/atom.

Structure (POSCAR):
```
PtRhIO2
1.0
3.767 0.000 0.000
0.000 3.767 0.000
0.000 0.000 8.579
I Rh O Pt
1 1 2 1
Cartesian
0.000 0.000 4.289
1.883 1.883 4.289
0.000 1.883 0.000
1.883 0.000 0.000
0.000 0.000 0.000
```

=====

6.
First-principles (PBE) data for crystalline Pm4ErSi2 at its relaxed geometry, as listed in the Alexandria database.

The calculation puts the spin magnetization at 0.00 μB/f.u. The uncorrected formation energy is -0.34 eV per atom. As for the calculated volume: 27.3 A^3/atom. As for the raw total energy: -5.26 eV/atom.

Structure (POSCAR):
```
Pm4ErSi2
1.0
-2.967 -0.603 1.927
5.656 -4.666 7.249
1.288 9.030 4.808
Pm Er Si
8 2 4
Cartesian
0.960 2.365 2.218
5.984 1.998 9.838
0.346 4.229 5.198
3.631 -0.469 8.786
1.834 5.165 7.782
2.143 -1.404 6.202
1.896 -0.570 2.741
5.048 4.934 9.315
-1.484 -0.301 0.964
3.472 2.182 6.028
1.989 6.832 5.200
4.955 -2.469 6.857
3.103 2.580 8.926
0.874 1.180 5.057
```

=====

7.
First-principles (PBE) data for crystalline Tc2IrBr at its relaxed geometry, as listed in the Alexandria database.

The excess energy over the best structure of this formula in the dataset comes out at 0.566 eV per atom. The calculation puts the spin magnetization at 0.00 μB/f.u. The uncorrected formation energy is 1.05 eV per atom. As for the calculated volume: 22.2 A^3/atom. As for the raw total energy: -6.77 eV/atom.

Structure (POSCAR):
```
Tc2IrBr
1.0
5.711 0.000 0.000
0.000 5.711 0.000
2.856 2.856 5.449
Ir Tc Br
2 4 2
Cartesian
0.000 0.000 0.000
5.711 2.856 2.724
4.372 1.428 1.362
1.339 4.284 1.362
4.284 4.195 4.086
7.139 7.228 4.086
2.856 2.856 0.000
2.856 5.711 2.724
```

=====

> The lowest raw total energy belongs to which entry?

Tc2IrBr